Er2Si2SnRh5: relaxed, PBE-GGA.

Cell: 3.550 9.720 9.720 Å, 90.00 90.00 90.00°
Sites, in units of the cell vectors:
Er  0.000  0.676  0.176
Er  0.000  0.324  0.824
Er  0.000  0.176  0.324
Er  0.000  0.824  0.676
Si  0.000  0.121  0.621
Si  0.000  0.879  0.379
Si  0.000  0.621  0.879
Si  0.000  0.379  0.121
Sn  0.000  0.000  0.000
Sn  0.000  0.500  0.500
Rh  0.500  0.217  0.070
Rh  0.500  0.783  0.930
Rh  0.500  0.070  0.783
Rh  0.500  0.717  0.430
Rh  0.500  0.930  0.217
Rh  0.500  0.283  0.570
Rh  0.500  0.570  0.717
Rh  0.500  0.430  0.283
Rh  0.500  0.500  0.000
Rh  0.500  0.000  0.500

Computed properties:
The formation energy from raw total energies is -977 meV per atom.



CaHfRu3: relaxed, PBE-GGA.

Cell: 4.845 4.845 4.845 Å, 90.00 90.00 90.00°
Site moments in Bohr magnetons follow the coordinates.
Sites, in units of the cell vectors:
Ru  0.000  0.500  0.000  1.19
Ru  0.000  0.000  0.500  1.21
Ru  0.500  0.000  0.000  0.87
Ca  0.500  0.500  0.500  -0.01
Hf  0.000  0.000  0.000  -0.15

Computed properties:
The calculation puts the formation energy at 89 kJ/mol of atoms. For the energy relative to the lowest polymorph listed for this composition, the calculation gives 0.0 meV/atom.



Tb3Dy8Sc2: relaxed, PBE-GGA.

Cell: 6.686 9.316 9.316 Å, 58.18 62.69 62.69°
Sites, in units of the cell vectors:
Tb  0.500  0.000  0.000
Tb  0.000  0.171  0.829
Tb  0.000  0.829  0.171
Dy  0.038  0.592  0.592
Dy  0.962  0.408  0.408
Dy  0.014  0.191  0.191
Dy  0.986  0.809  0.809
Dy  0.549  0.560  0.198
Dy  0.549  0.198  0.560
Dy  0.451  0.802  0.440
Dy  0.451  0.440  0.802
Sc  0.517  0.202  0.202
Sc  0.483  0.798  0.798

Computed properties:
The calculation puts the formation energy at 23 kJ/mol of atoms. For the energy relative to the lowest polymorph listed for this composition, the calculation gives 0.0 meV/atom.